Entry from Alexandria via LeMat-Bulk: crystalline PuPa2Sn at its relaxed geometry (PBE-GGA).

a = 4.6161 Å, b = 4.6161 Å, c = 4.6295 Å
α = 90.00°, β = 90.00°, γ = 90.00°
With the nearest neighbours (Å) after each atom.
Sites, in units of the cell vectors:
Pu: 0.0000 0.0000 0.0000  4 Sn 3.26, 8 Pa 3.27
Pa: 0.0000 0.5000 0.5000  4 Pa 3.26, 4 Sn 3.27, 4 Pu 3.27
Pa: 0.5000 0.0000 0.5000  4 Pa 3.26, 4 Sn 3.27, 4 Pu 3.27
Sn: 0.5000 0.5000 0.0000  4 Pu 3.26, 8 Pa 3.27

calculated density = 13.9 Mg/m³
total magnetic moment = 1.45 μB per atom
E_form = -0.781 eV/f.u.
space group = No. 123
energy = -38.1 eV for the cell shown


Entry from Alexandria via LeMat-Bulk: crystalline PuPa3Sn12 at its relaxed geometry (PBE-GGA).

a = 4.6643 Å, b = 4.6643 Å, c = 18.4770 Å
α = 90.00°, β = 90.00°, γ = 90.00°
With the nearest neighbours (Å) after each atom.
Sites, in units of the cell vectors:
Pu: 0.0000 0.0000 0.0000  12 Sn 3.28-3.30
Pa: 0.0000 0.0000 0.2515  12 Sn 3.27-3.30
Pa: 0.0000 0.0000 0.5000  12 Sn 3.28-3.30
Pa: 0.0000 0.0000 0.7485  12 Sn 3.27-3.30
Sn: 0.0000 0.5000 0.1250  8 Sn 3.28-3.30, 2 Pu 3.28, 2 Pa 3.30
Sn: 0.0000 0.5000 0.3753  4 Pa 3.27-3.28, 8 Sn 3.28-3.30
Sn: 0.0000 0.5000 0.6247  4 Pa 3.27-3.28, 8 Sn 3.28-3.30
Sn: 0.0000 0.5000 0.8750  8 Sn 3.28-3.30, 2 Pu 3.28, 2 Pa 3.30
Sn: 0.5000 0.0000 0.1250  8 Sn 3.28-3.30, 2 Pu 3.28, 2 Pa 3.30
Sn: 0.5000 0.0000 0.3753  4 Pa 3.27-3.28, 8 Sn 3.28-3.30
Sn: 0.5000 0.0000 0.6247  4 Pa 3.27-3.28, 8 Sn 3.28-3.30
Sn: 0.5000 0.0000 0.8750  8 Sn 3.28-3.30, 2 Pu 3.28, 2 Pa 3.30
Sn: 0.5000 0.5000 0.0000  8 Sn 3.28, 4 Pu 3.30
Sn: 0.5000 0.5000 0.2496  8 Sn 3.28-3.29, 4 Pa 3.30
Sn: 0.5000 0.5000 0.5000  8 Sn 3.28, 4 Pa 3.30
Sn: 0.5000 0.5000 0.7504  8 Sn 3.28-3.29, 4 Pa 3.30

calculated density = 9.8 Mg/m³
total magnetic moment = 0.31 μB per atom
E_form = -5.168 eV/f.u.
space group = No. 123
energy = -96.0 eV for the cell shown


Entry from Alexandria via LeMat-Bulk: crystalline Pu2PaSn at its relaxed geometry (PBE-GGA).

a = 3.9464 Å, b = 3.9464 Å, c = 6.4623 Å
α = 90.00°, β = 90.00°, γ = 90.00°
With the nearest neighbours (Å) after each atom.
Sites, in units of the cell vectors:
Pu: 0.0000 0.0000 0.2440  2 Pu 3.15-3.31, 4 Sn 3.21, 4 Pa 3.24
Pu: 0.0000 0.0000 0.7560  2 Pu 3.15-3.31, 4 Sn 3.21, 4 Pa 3.24
Pa: 0.5000 0.5000 0.5000  2 Sn 3.23, 8 Pu 3.24
Sn: 0.5000 0.5000 0.0000  8 Pu 3.21, 2 Pa 3.23

calculated density = 13.8 Mg/m³
total magnetic moment = 3.00 μB per atom
E_form = -0.462 eV/f.u.
space group = No. 123
energy = -42.6 eV for the cell shown


Entry from Alexandria via LeMat-Bulk: crystalline PuPaSn at its relaxed geometry (PBE-GGA).

a = 5.3316 Å, b = 5.4424 Å, c = 5.5446 Å
α = 90.00°, β = 114.13°, γ = 90.00°
With the nearest neighbours (Å) after each atom.
Sites, in units of the cell vectors:
Pu: 0.1966 0.0000 0.4759  3 Pa 2.74-3.05
Pu: 0.8034 0.5000 0.5241  3 Pa 2.74-3.05
Pa: 0.0910 0.5043 0.2118  3 Pu 2.74-3.05
Pa: 0.9090 0.0043 0.7882  3 Pu 2.74-3.05
Sn: 0.4406 0.4992 0.8473  5 Pu 3.13-3.45, 2 Sn 3.13, 3 Pa 3.22-3.26
Sn: 0.5594 0.9992 0.1527  5 Pu 3.13-3.45, 2 Sn 3.13, 3 Pa 3.22-3.26

calculated density = 13.4 Mg/m³
total magnetic moment = 1.95 μB per atom
E_form = -0.357 eV/f.u.
space group = No. 4
energy = -56.4 eV for the cell shown


Entry from Alexandria via LeMat-Bulk: crystalline Pu6Pa12Sn at its relaxed geometry (PBE-GGA).

a = 8.2718 Å, b = 8.2718 Å, c = 8.2718 Å
α = 107.10°, β = 107.10°, γ = 107.10°
With the nearest neighbours (Å) after each atom.
Sites, in units of the cell vectors:
Pu: 0.2745 0.2745 0.7222  5 Pa 2.71-2.87
Pu: 0.2745 0.7222 0.2745  5 Pa 2.71-2.87
Pu: 0.2778 0.7255 0.7255  5 Pa 2.71-2.87
Pu: 0.7222 0.2745 0.2745  5 Pa 2.71-2.87
Pu: 0.7255 0.2778 0.7255  5 Pa 2.71-2.87
Pu: 0.7255 0.7255 0.2778  5 Pa 2.71-2.87
Pa: 0.1181 0.5000 0.8819  4 Pu 2.81-2.87, 1 Pa 3.14
Pa: 0.1181 0.8819 0.5000  4 Pu 2.81-2.87, 1 Pa 3.14
Pa: 0.1675 0.4160 0.4160  1 Pu 2.71
Pa: 0.4160 0.1675 0.4160  1 Pu 2.71
Pa: 0.4160 0.4160 0.1675  1 Pu 2.71
Pa: 0.5000 0.1181 0.8819  4 Pu 2.81-2.87, 1 Pa 3.14
Pa: 0.5000 0.8819 0.1181  4 Pu 2.81-2.87, 1 Pa 3.14
Pa: 0.5840 0.5840 0.8325  1 Pu 2.71
Pa: 0.5840 0.8325 0.5840  1 Pu 2.71
Pa: 0.8325 0.5840 0.5840  1 Pu 2.71
Pa: 0.8819 0.1181 0.5000  4 Pu 2.81-2.87, 1 Pa 3.14
Pa: 0.8819 0.5000 0.1181  4 Pu 2.81-2.87, 1 Pa 3.14
Sn: 0.0000 0.0000 0.0000  6 Pa 3.61

calculated density = 15.4 Mg/m³
total magnetic moment = 1.53 μB per atom
E_form = 5.930 eV/f.u.
space group = No. 166
energy = -198.0 eV for the cell shown


Entry from Alexandria via LeMat-Bulk: crystalline Pu6PaSn5 at its relaxed geometry (PBE-GGA).

a = 5.6545 Å, b = 6.7145 Å, c = 8.6456 Å
α = 111.77°, β = 91.34°, γ = 90.84°
With the nearest neighbours (Å) after each atom.
Sites, in units of the cell vectors:
Pu: 0.0113 0.2503 0.4946  2 Pa 3.20-3.36, 6 Sn 3.22-3.33, 4 Pu 3.32-3.40
Pu: 0.3465 0.0764 0.1615  4 Pu 3.16-3.38, 7 Sn 3.24-3.38, 1 Pa 3.32
Pu: 0.3471 0.5803 0.1749  1 Pa 3.16, 7 Sn 3.23-3.36, 4 Pu 3.34-3.39
Pu: 0.6529 0.4197 0.8251  1 Pa 3.16, 7 Sn 3.23-3.36, 4 Pu 3.34-3.39
Pu: 0.6535 0.9236 0.8385  4 Pu 3.16-3.38, 7 Sn 3.24-3.38, 1 Pa 3.32
Pu: 0.9887 0.7497 0.5054  2 Pa 3.20-3.36, 6 Sn 3.22-3.33, 4 Pu 3.32-3.40
Pa: 0.5000 0.5000 0.5000  8 Pu 3.16-3.36, 4 Sn 3.32-3.36
Sn: 0.1554 0.1729 0.8358  8 Pu 3.26-3.33, 4 Sn 3.27-3.41
Sn: 0.1636 0.6636 0.8313  8 Pu 3.22-3.38, 3 Sn 3.27-3.41, 1 Pa 3.32
Sn: 0.5000 0.0000 0.5000  8 Pu 3.24-3.33, 2 Pa 3.36, 2 Sn 3.38
Sn: 0.8364 0.3364 0.1687  8 Pu 3.22-3.38, 3 Sn 3.27-3.41, 1 Pa 3.32
Sn: 0.8446 0.8271 0.1642  8 Pu 3.26-3.33, 4 Sn 3.27-3.41

calculated density = 12.5 Mg/m³
total magnetic moment = 0.98 μB per atom
E_form = -3.338 eV/f.u.
space group = No. 2
energy = -118.8 eV for the cell shown


Entry from Alexandria via LeMat-Bulk: crystalline PuPaSn at its relaxed geometry (PBE-GGA).

a = 5.0813 Å, b = 5.0813 Å, c = 3.2331 Å
α = 90.00°, β = 90.00°, γ = 120.00°
With the nearest neighbours (Å) after each atom.
Sites, in units of the cell vectors:
Pu: 0.0000 0.0000 0.0000  3 Pa 2.93, 2 Pu 3.23
Pa: 0.6667 0.3333 0.0000  3 Pu 2.93, 2 Pa 3.23
Sn: 0.3333 0.6667 0.5000  2 Sn 3.23, 6 Pu 3.35, 6 Pa 3.35

calculated density = 13.6 Mg/m³
total magnetic moment = 2.04 μB per atom
E_form = -0.310 eV/f.u.
space group = No. 187
energy = -28.1 eV for the cell shown


Entry from Alexandria via LeMat-Bulk: crystalline PuPaSn at its relaxed geometry (PBE-GGA).

a = 4.9725 Å, b = 4.9725 Å, c = 4.9725 Å
α = 120.94°, β = 120.85°, γ = 88.46°
With the nearest neighbours (Å) after each atom.
Sites, in units of the cell vectors:
Pu: 0.0000 0.0000 0.0000  4 Pa 3.03, 4 Sn 3.03
Pa: 0.7491 0.2491 0.5000  4 Pu 3.03
Sn: 0.2503 0.7503 0.5000  4 Pu 3.03

calculated density = 11.5 Mg/m³
total magnetic moment = 2.91 μB per atom
E_form = 0.852 eV/f.u.
space group = No. 44
energy = -27.0 eV for the cell shown


Entry from Alexandria via LeMat-Bulk: crystalline PuPa3Sn at its relaxed geometry (PBE-GGA).

a = 7.6891 Å, b = 7.6891 Å, c = 9.3393 Å
α = 106.01°, β = 106.01°, γ = 28.23°
With the nearest neighbours (Å) after each atom.
Sites, in units of the cell vectors:
Pu: 0.0832 0.0832 0.2406  4 Pa 2.50-2.52
Pu: 0.9168 0.9168 0.7594  4 Pa 2.50-2.52
Pa: 0.0643 0.0643 0.6781  1 Pu 2.52
Pa: 0.2336 0.2336 0.1730  1 Pu 2.50
Pa: 0.3548 0.3548 0.5808  2 Pu 2.50
Pa: 0.6452 0.6452 0.4192  2 Pu 2.50
Pa: 0.7664 0.7664 0.8270  1 Pu 2.50
Pa: 0.9357 0.9357 0.3219  1 Pu 2.52
Sn: 0.4148 0.4148 0.0440  1 Sn 2.88, 4 Pa 3.14-3.16
Sn: 0.5852 0.5852 0.9560  1 Sn 2.88, 4 Pa 3.14-3.16

calculated density = 14.0 Mg/m³
total magnetic moment = 0.01 μB per atom
E_form = 0.312 eV/f.u.
space group = No. 12
energy = -93.0 eV for the cell shown


Entry from Alexandria via LeMat-Bulk: crystalline PuPa2Sn3 at its relaxed geometry (PBE-GGA).

a = 4.0948 Å, b = 4.0948 Å, c = 9.2671 Å
α = 90.00°, β = 90.00°, γ = 90.00°
With the nearest neighbours (Å) after each atom.
Sites, in units of the cell vectors:
Pu: 0.0000 0.0000 0.0000  2 Pa 3.02, 8 Sn 3.28
Pa: 0.0000 0.0000 0.3254  1 Pu 3.02, 1 Pa 3.24, 8 Sn 3.25-3.32
Pa: 0.0000 0.0000 0.6746  1 Pu 3.02, 1 Pa 3.24, 8 Sn 3.25-3.32
Sn: 0.5000 0.5000 0.1667  2 Sn 3.09, 4 Pa 3.25, 4 Pu 3.28
Sn: 0.5000 0.5000 0.5000  2 Sn 3.09, 8 Pa 3.32
Sn: 0.5000 0.5000 0.8333  2 Sn 3.09, 4 Pa 3.25, 4 Pu 3.28

calculated density = 11.4 Mg/m³
total magnetic moment = 1.02 μB per atom
E_form = -1.648 eV/f.u.
space group = No. 123
energy = -47.0 eV for the cell shown


Entry from Alexandria via LeMat-Bulk: crystalline PuPaSnTe at its relaxed geometry (PBE-GGA).

a = 5.3176 Å, b = 5.3176 Å, c = 5.3176 Å
α = 60.00°, β = 60.00°, γ = 60.00°
With the nearest neighbours (Å) after each atom.
Sites, in units of the cell vectors:
Pu: 0.0000 0.0000 0.0000  4 Sn 3.26, 4 Te 3.26
Pa: 0.5000 0.5000 0.5000  4 Sn 3.26, 4 Te 3.26
Sn: 0.7500 0.7500 0.7500  4 Pa 3.26, 4 Pu 3.26
Te: 0.2500 0.2500 0.2500  4 Pa 3.26, 4 Pu 3.26

calculated density = 11.3 Mg/m³
total magnetic moment = 1.73 μB per atom
uncorrected formation energy = -451 meV/atom
space group = No. 216
energy = -32.8 eV for the cell shown


Entry from Alexandria via LeMat-Bulk: crystalline PuUPaSn at its relaxed geometry (PBE-GGA).

a = 5.1043 Å, b = 5.1043 Å, c = 5.1043 Å
α = 60.00°, β = 60.00°, γ = 60.00°
With the nearest neighbours (Å) after each atom.
Sites, in units of the cell vectors:
Pu: 0.0000 0.0000 0.0000  4 Sn 3.13, 4 U 3.13
U: 0.7500 0.7500 0.7500  4 Pa 3.13, 4 Pu 3.13
Pa: 0.5000 0.5000 0.5000  4 U 3.13, 4 Sn 3.13
Sn: 0.2500 0.2500 0.2500  4 Pa 3.13, 4 Pu 3.13

calculated density = 14.7 Mg/m³
total magnetic moment = 1.16 μB per atom
E_form = 0.511 eV/f.u.
space group = No. 216
energy = -38.6 eV for the cell shown